(1)
## Ti2SnI (PBE)

Data for a geometry-optimized Ti2SnI structure.

Unit cell a=5.5034 b=5.5034 c=8.7451 alpha=71.66 beta=71.66 gamma=90.00
Last column: nearest neighbours and their distance in Å.
Sites, in units of the cell vectors:
Ti (0.6083, 0.1250, 0.2500)  2 Sn 2.72, 2 I 2.81
Ti (0.8750, 0.8583, 0.7500)  2 Sn 2.72, 2 I 2.81
Ti (0.3750, 0.3917, 0.7500)  2 Sn 2.72, 2 I 2.81
Ti (0.1417, 0.6250, 0.2500)  2 Sn 2.72, 2 I 2.81
I (0.0000, 0.0000, 0.0000)  4 Ti 2.81
I (0.7500, 0.2500, 0.5000)  4 Ti 2.81
Sn (0.5000, 0.5000, 0.0000)  4 Ti 2.72
Sn (0.2500, 0.7500, 0.5000)  4 Ti 2.72

Calculated values
Formation energy without anion corrections in meV per atom: 507
E in eV per atom: -4.829
Symmetry: I-42d
ΔE to the lowest computed polymorph in meV per atom: 407
DOS(E_F) in states/eV per cell: 8.05


(2)
## TiSn2I2 (PBE)

Data for a geometry-optimized TiSn2I2 structure.

Unit cell a=3.9564 b=3.9564 c=12.5845 alpha=80.96 beta=80.96 gamma=90.00
Last column: nearest neighbours and their distance in Å.
Sites, in units of the cell vectors:
I (0.5715, 0.5715, 0.8569)  4 Ti 3.30, 1 I 3.51
I (0.4285, 0.4285, 0.1431)  4 Ti 3.30, 1 I 3.51
Sn (0.7500, 0.2500, 0.5000)  4 Sn 2.80
Sn (0.2500, 0.7500, 0.5000)  4 Sn 2.80
Ti (0.0000, 0.0000, 0.0000)  8 I 3.30

Calculated values
Formation energy without anion corrections in meV per atom: 146
E in eV per atom: -3.654
Symmetry: I4/mmm
ΔE to the lowest computed polymorph in meV per atom: 0
DOS(E_F) in states/eV per cell: 2.17


(3)
## TiSnI3 (PBE)

Data for a geometry-optimized TiSnI3 structure.

Unit cell a=5.6173 b=5.6173 c=5.6173 alpha=90.00 beta=90.00 gamma=90.00
Last column: nearest neighbours and their distance in Å.
Sites, in units of the cell vectors:
Ti (0.0000, 0.0000, 0.0000)  6 I 2.81
I (0.0000, 0.5000, 0.0000)  2 Ti 2.81
I (0.0000, 0.0000, 0.5000)  2 Ti 2.81
I (0.5000, 0.0000, 0.0000)  2 Ti 2.81
Sn (0.5000, 0.5000, 0.5000)  12 I 3.97

Calculated values
Formation energy without anion corrections in meV per atom: -108
E in eV per atom: -3.418
Symmetry: Pm-3m
ΔE to the lowest computed polymorph in meV per atom: 0
DOS(E_F) in states/eV per cell: 3.89